## AcGa2Hg (PBE)

Data for a relaxed AcGa2Hg crystal.

Calculated values
- Formation energy from the elements: -0.277 eV/atom
- D(E_F): 3.0 states/eV/cell
- Crystal system: cubic
- E above lowest polymorph: 202 meV per atom

Cell lengths 5.2496, 5.2496, 5.2496 Å; angles 60.00, 60.00, 60.00 degrees
With the nearest neighbours (Å) after each atom.
Fractional positions:
Ac: 0.0000 0.0000 0.0000  8 Ga 3.21
Ga: 0.2500 0.2500 0.2500  4 Hg 3.21, 4 Ac 3.21
Ga: 0.7500 0.7500 0.7500  4 Hg 3.21, 4 Ac 3.21
Hg: 0.5000 0.5000 0.5000  8 Ga 3.21